Record 1
{"formula": "CdGePd6", "functional": "PBE", "state": "relaxed", "lattice_angstrom": [[-1.518, 2.872, -2.382], [-3.561, -0.347, 1.851], [2.155, 5.420, 5.163]], "species": ["Cd", "Ge", "Pd", "Pd", "Pd", "Pd", "Pd", "Pd"], "fractional_positions": [[0.000, 0.000, 0.000], [0.000, 0.000, 0.500], [0.500, 0.500, 0.000], [0.500, 0.500, 0.500], [0.500, 0.000, 0.263], [0.500, 0.000, 0.737], [0.000, 0.500, 0.263], [0.000, 0.500, 0.737]], "dft_energy_ry_per_atom": -0.3594, "formation_enthalpy_0k_ev_per_atom": -0.304, "total_magnetization_mub_per_fu": 0.0, "space_group": "P4/mmm", "dos_ef_per_ev_cell": 9.0, "mass_density_g_cm3": 10.82}

---

Record 2
{"formula": "Cd3GePd", "functional": "PBE", "state": "relaxed", "lattice_angstrom": [[-4.458, -1.337, 2.038], [-1.030, -2.815, -4.102], [2.209, -4.013, 2.199]], "species": ["Ge", "Pd", "Cd", "Cd", "Cd"], "fractional_positions": [[0.000, 0.000, 0.000], [0.500, 0.500, 0.500], [0.000, 0.500, 0.000], [0.000, 0.000, 0.500], [0.500, 0.000, 0.000]], "dft_energy_ry_per_atom": -0.1436, "formation_enthalpy_0k_ev_per_atom": 0.557, "total_magnetization_mub_per_fu": 0.0, "space_group": "Pm-3m", "dos_ef_per_ev_cell": 2.1, "mass_density_g_cm3": 6.54}

---

Record 3
{"formula": "CdGe2Pd6", "functional": "PBE", "state": "relaxed", "lattice_angstrom": [[4.496, 0.000, 0.000], [2.248, 4.333, -0.443], [2.248, 1.496, 7.248]], "species": ["Cd", "Ge", "Ge", "Pd", "Pd", "Pd", "Pd", "Pd", "Pd"], "fractional_positions": [[0.000, 0.500, 0.500], [0.332, 0.561, 0.774], [0.668, 0.439, 0.226], [0.681, 0.720, 0.918], [0.319, 0.280, 0.082], [0.968, 0.882, 0.181], [0.356, 0.857, 0.430], [0.032, 0.118, 0.819], [0.644, 0.143, 0.570]], "dft_energy_ry_per_atom": -0.3644, "formation_enthalpy_0k_ev_per_atom": -0.368, "total_magnetization_mub_per_fu": 0.0, "space_group": "C2/m", "dos_ef_per_ev_cell": 3.5, "mass_density_g_cm3": 10.32}

---

Record 4
{"formula": "CdGe2Pd2", "functional": "PBE", "state": "relaxed", "lattice_angstrom": [[-2.343, 3.741, 2.106], [-3.455, -1.652, 4.667], [3.284, 1.738, 6.230]], "species": ["Cd", "Cd", "Ge", "Ge", "Ge", "Ge", "Pd", "Pd", "Pd", "Pd"], "fractional_positions": [[0.781, 0.750, 0.249], [0.219, 0.250, 0.751], [0.423, 0.353, 0.307], [0.916, 0.854, 0.807], [0.084, 0.146, 0.193], [0.577, 0.647, 0.693], [0.383, 0.770, 0.030], [0.820, 0.271, 0.530], [0.617, 0.230, 0.970], [0.180, 0.729, 0.470]], "dft_energy_ry_per_atom": -0.3212, "formation_enthalpy_0k_ev_per_atom": -0.263, "total_magnetization_mub_per_fu": 0.0, "space_group": "P-1", "dos_ef_per_ev_cell": 3.6, "mass_density_g_cm3": 8.69}

---

Record 5
{"formula": "CdGePd6", "functional": "PBE", "state": "relaxed", "lattice_angstrom": [[7.645, -0.027, 0.145], [3.819, 5.628, -0.151], [3.744, 1.669, 3.070]], "species": ["Cd", "Ge", "Pd", "Pd", "Pd", "Pd", "Pd", "Pd"], "fractional_positions": [[0.500, 0.500, 0.500], [0.000, 0.000, 0.000], [0.052, 0.424, 0.760], [0.764, 0.952, 0.706], [0.579, 0.235, 0.137], [0.236, 0.048, 0.294], [0.948, 0.576, 0.240], [0.421, 0.765, 0.863]], "dft_energy_ry_per_atom": -0.3551, "formation_enthalpy_0k_ev_per_atom": -0.245, "total_magnetization_mub_per_fu": 0.0, "space_group": "P-1", "dos_ef_per_ev_cell": 3.5, "mass_density_g_cm3": 10.34}

---

Record 6
{"formula": "Cd2GePd", "functional": "PBE", "state": "relaxed", "lattice_angstrom": [[-1.434, -1.817, 7.478], [-6.828, -3.207, -2.089], [-2.901, -4.905, 2.349]], "species": ["Ge", "Ge", "Pd", "Pd", "Cd", "Cd", "Cd", "Cd"], "fractional_positions": [[0.500, 0.500, 0.000], [0.250, 0.750, 0.500], [0.000, 0.000, 0.000], [0.750, 0.250, 0.500], [0.636, 0.125, 0.250], [0.114, 0.625, 0.250], [0.375, 0.364, 0.750], [0.875, 0.886, 0.750]], "dft_energy_ry_per_atom": -0.2077, "formation_enthalpy_0k_ev_per_atom": 0.085, "total_magnetization_mub_per_fu": 0.0, "space_group": "I-42d", "dos_ef_per_ev_cell": 2.7, "mass_density_g_cm3": 8.07}